CsCoBiF6 after structural relaxation, computed with PBE+U.

Summary:
* Fermi-level density of states: 0.0000 states/eV per atom
* raw total energy: -4.774 eV per atom
* total magnetization: 3.00 μB per cell

Cell: 5.9106 5.9106 6.4378 Å, 90.00 90.00 120.00°
Closest atoms and distances in Å follow each position.
Fractional coordinates of all 9 atoms:
Cs 0.0000 0.0000 0.0000  6 F 3.04
Co 0.3333 0.6667 0.5000  6 F 2.08
Bi 0.6667 0.3333 0.5000  6 F 2.29
F 0.0259 0.3925 0.6810  1 Co 2.08, 1 Bi 2.29
F 0.0259 0.6334 0.3190  1 Co 2.08, 1 Bi 2.29
F 0.3666 0.3925 0.3190  1 Co 2.08, 1 Bi 2.29
F 0.3666 0.9741 0.6810  1 Co 2.08, 1 Bi 2.29
F 0.6075 0.6334 0.6810  1 Co 2.08, 1 Bi 2.29
F 0.6075 0.9741 0.3190  1 Co 2.08, 1 Bi 2.29